1.
Computed, not measured: Sb2Pb2S5 after structural relaxation at the GGA-PBE level of DFT.

Values from the calculation:
* E: -4.365 eV/atom
* total magnetization: 0.00 μB/f.u.
* space group: Ima2, No. 46

The structure in POSCAR format:
```
Sb2Pb2S5
1.0
-8.771 3.802 3.847
8.771 -3.802 3.847
8.771 3.802 -3.847
Sb Pb S
4 4 10
Cartesian
0.000 0.000 0.000
8.771 0.000 0.000
4.385 3.766 3.271
-4.385 3.839 3.271
2.034 -0.152 3.528
6.737 -0.152 3.528
2.034 3.954 -0.318
6.737 3.954 -0.318
2.560 0.956 0.813
6.211 0.956 0.813
4.385 -1.515 4.178
-0.750 2.182 2.087
9.520 2.182 2.087
4.385 5.317 0.331
2.560 2.847 4.660
6.211 2.847 4.660
0.750 5.423 2.087
-0.750 1.620 5.933
```

2.
Computed, not measured: SbPb6Se3S2 after structural relaxation at the GGA-PBE level of DFT.

Values from the calculation:
* E: -4.153 eV/atom
* Fermi-level density of states: 6.49 states/eV/f.u.
* total magnetization: 0.00 μB/f.u.
* space group: C2/m, No. 12

The structure in POSCAR format:
```
SbPb6Se3S2
1.0
3.768 -6.577 0.000
3.768 6.577 0.000
-2.460 0.000 7.096
Sb Pb Se S
1 6 3 2
Cartesian
0.000 0.000 0.000
1.305 2.279 1.726
0.115 0.000 5.327
1.305 -2.279 1.726
3.771 2.279 5.371
4.961 0.000 1.769
3.771 -2.279 5.371
2.538 4.484 3.548
2.538 0.000 3.548
2.538 -4.484 3.548
3.768 2.222 0.000
3.768 -2.222 0.000
```